(1)
Here is KTeRh2 after structural relaxation from Alexandria. Energies are from PBE-GGA.

abc: 4.1201 4.1215 6.2070
angles: 90.03 90.00 90.00
With the nearest neighbours (Å) after each atom.
Positions (direct):
K  0.5000  0.8752  0.7426  4 Rh 3.38, 4 Te 3.58
Rh  0.0000  0.8748  0.1752  2 Te 2.51
Rh  0.5000  0.3751  0.1750  2 Te 2.51
Te  0.0000  0.3749  0.4072  4 Rh 2.51

Output
symmetry: P4mm, No. 99
uncorrected formation energy: 1.4 kJ per mole of atoms
magnetization: 0.000 μB per atom
density: 5.869 g/cm³

---

(2)
Here is ScCr3Sb after structural relaxation from Alexandria. Energies are from PBE-GGA.

abc: 5.0406 5.0406 5.0406
angles: 90.00 90.00 90.00
With the nearest neighbours (Å) after each atom.
Positions (direct):
Cr  0.5000  0.0000  0.0000  2 Sb 2.52
Cr  0.0000  0.0000  0.5000  2 Sb 2.52
Cr  0.0000  0.5000  0.0000  2 Sb 2.52
Sc  0.5000  0.5000  0.5000  12 Cr 3.56
Sb  0.0000  0.0000  0.0000  6 Cr 2.52

Output
excess energy over the best structure of this formula in the dataset: 0 meV per atom
symmetry: Pm-3m, No. 221
uncorrected formation energy: 111.7 kJ per mole of atoms
magnetization: 2.368 μB per atom
density: 4.184 g/cm³